The following is a DFT calculation (PBE+U) of a relaxed Na4Ac3MoO8 crystal.

Values from the calculation:
Volume = 264.2 Å³ per cell
E_tot = -6.265 eV/atom

Cell: 7.085 7.085 7.085 Å, 62.27 62.27 62.27°
Element x y z (fractional)
Na: 0.000 0.000 0.000
Na: 0.000 0.500 0.500
Na: 0.500 0.000 0.500
Na: 0.500 0.500 0.000
Ac: 0.000 0.000 0.500
Ac: 0.000 0.500 0.000
Ac: 0.500 0.000 0.000
Mo: 0.500 0.500 0.500
O: 0.242 0.242 0.242
O: 0.266 0.725 0.725
O: 0.275 0.275 0.734
O: 0.275 0.734 0.275
O: 0.725 0.266 0.725
O: 0.725 0.725 0.266
O: 0.734 0.275 0.275
O: 0.758 0.758 0.758